No. 1
Li2ZnSiO4 at its PBEsol-relaxed geometry. Source: the Alexandria database, functional SCAN.

abc: 5.0294 6.2555 10.6144
angles: 90.00 90.00 90.59
Sites, in units of the cell vectors:
1 O 0.8600 0.2539 0.0892
2 O 0.2973 0.2437 0.9421
3 O 0.2949 0.4708 0.1601
4 O 0.7954 0.5383 0.3392
5 O 0.2046 0.4617 0.6608
6 O 0.1400 0.7461 0.9108
7 O 0.7046 0.9617 0.8392
8 O 0.7949 0.9708 0.3399
9 O 0.2027 0.2563 0.4421
10 O 0.7027 0.7563 0.0579
11 O 0.7973 0.7437 0.5579
12 O 0.2954 0.0383 0.1608
13 O 0.7051 0.5292 0.8399
14 O 0.2051 0.0292 0.6601
15 O 0.3600 0.7539 0.4108
16 O 0.6400 0.2461 0.5892
17 Zn 0.1907 0.0011 0.3355
18 Zn 0.8093 0.9989 0.6645
19 Zn 0.3093 0.4989 0.8355
20 Zn 0.6907 0.5011 0.1645
21 Li 0.2975 0.7593 0.0765
22 Li 0.2025 0.7407 0.5765
23 Li 0.7975 0.2593 0.4235
24 Li 0.7025 0.2407 0.9235
25 Li 0.8100 0.4935 0.6639
26 Li 0.1900 0.5065 0.3361
27 Li 0.3100 0.9935 0.8361
28 Li 0.6900 0.0065 0.1639
29 Si 0.1881 0.2534 0.0876
30 Si 0.8119 0.7466 0.9124
31 Si 0.3119 0.2466 0.5876
32 Si 0.6881 0.7534 0.4124

Output
Calculated volume (Å³ per cell): 333.93
Uncorrected formation energy (eV per atom): -2.510
Total DFT energy (no corrections) (eV per atom): -9.16
Fermi-level density of states (states/eV/f.u.): 0.0

=====

No. 2
Li2ZnSiO at its PBEsol-relaxed geometry. Source: the Alexandria database, functional SCAN.

abc: 3.3970 5.1998 5.1998
angles: 90.00 90.00 90.00
Sites, in units of the cell vectors:
1 Li 0.0000 0.0000 0.5000
2 Li 0.0000 0.5000 0.0000
3 O 0.5000 0.0000 0.0000
4 Si 0.5000 0.5000 0.5000
5 Zn 0.0000 0.0000 0.0000

Output
Calculated volume (Å³ per cell): 91.85
Uncorrected formation energy (eV per atom): 0.026
Total DFT energy (no corrections) (eV per atom): -6.88
Fermi-level density of states (states/eV/f.u.): 1.7

=====

No. 3
Li8SnO6 at its PBEsol-relaxed geometry. Source: the Alexandria database, functional SCAN.

abc: 5.4487 5.4487 5.9802
angles: 62.90 62.90 60.00
Sites, in units of the cell vectors:
1 O 0.6145 0.2360 0.2438
2 O 0.7640 0.0943 0.7562
3 O 0.0943 0.3855 0.7562
4 O 0.3855 0.7640 0.7562
5 O 0.2360 0.9057 0.2438
6 O 0.9057 0.6145 0.2438
7 Li 0.1005 0.7655 0.6388
8 Li 0.6551 0.6551 0.0346
9 Li 0.2345 0.5049 0.3612
10 Li 0.5049 0.8995 0.3612
11 Li 0.4951 0.1005 0.6388
12 Li 0.3449 0.3449 0.9654
13 Li 0.7655 0.4951 0.6388
14 Li 0.8995 0.2345 0.3612
15 Sn 0.0000 0.0000 0.0000

Output
Calculated volume (Å³ per cell): 130.76
Uncorrected formation energy (eV per atom): -2.053
Total DFT energy (no corrections) (eV per atom): -8.21
Fermi-level density of states (states/eV/f.u.): 0.0

=====

No. 4
LiVSnO4 at its PBEsol-relaxed geometry. Source: the Alexandria database, functional SCAN.

abc: 5.8031 6.1063 6.1063
angles: 61.70 61.63 61.63
Each line ends with the local moment (μB).
Sites, in units of the cell vectors:
1 O 0.7546 0.7345 0.2345  0.02
2 O 0.2618 0.2669 0.2095  -0.03
3 O 0.2454 0.2655 0.7655  0.02
4 O 0.7382 0.2905 0.2331  -0.03
5 O 0.7235 0.2655 0.7655  0.02
6 O 0.7382 0.7331 0.7905  -0.03
7 O 0.2765 0.7345 0.2345  0.02
8 O 0.2618 0.7095 0.7669  -0.03
9 Li 0.1289 0.1211 0.6211  0.00
10 Li 0.8711 0.8789 0.3789  0.00
11 V 0.0000 0.5000 0.0000  1.85
12 V 0.5000 0.5000 0.0000  1.85
13 Sn 0.5000 0.0000 0.0000  0.05
14 Sn 0.5000 0.5000 0.5000  0.05

Output
Calculated volume (Å³ per cell): 158.67
Uncorrected formation energy (eV per atom): -2.201
Total DFT energy (no corrections) (eV per atom): -13.73
Fermi-level density of states (states/eV/f.u.): 0.1